## LiVP2O8 (PBE with a Hubbard U)

Data for LiVP2O8 after structural relaxation.

* energy above the most stable polymorph in this dataset: 42 meV/atom
* space-group type: C2/c, No. 15
* magnetic moment: 0.000 μB per atom
* total energy: -7.038 eV per atom
* calculated volume: 288.8 Å³ per cell

a b c (Å): 5.0115 5.0115 13.9859
angles (deg): 84.75 84.75 55.75
Closest atoms and distances in Å follow each position.
Fractional positions:
P1 0.6798 0.6385 0.1154  4 O 1.49-1.58
P2 0.3615 0.3202 0.3846  4 O 1.49-1.58
P3 0.6385 0.6798 0.6154  4 O 1.49-1.58
P4 0.3202 0.3615 0.8846  4 O 1.49-1.58
O1 0.5798 0.2176 0.9635  1 P 1.58
O2 0.5272 0.7813 0.2098  1 P 1.49
O3 0.7089 0.9407 0.5763  1 P 1.58
O4 0.2176 0.5798 0.4635  1 P 1.58
O5 0.1414 0.7376 0.8852  1 P 1.57
O6 0.8586 0.2624 0.1148  1 P 1.57
O7 0.4202 0.7824 0.0365  1 P 1.58
O8 0.0593 0.2911 0.9237  1 P 1.58
O9 0.2624 0.8586 0.6148  1 P 1.57
O10 0.2187 0.4728 0.2902  1 P 1.49
O11 0.7824 0.4202 0.5365  1 P 1.58
O12 0.9407 0.7089 0.0763  1 P 1.58
O13 0.7813 0.5272 0.7098  1 P 1.49
O14 0.4728 0.2187 0.7902  1 P 1.49
O15 0.2911 0.0593 0.4237  1 P 1.58
O16 0.7376 0.1414 0.3852  1 P 1.57
V1 0.0000 0.0000 0.5000  6 O 1.84-1.98
V2 0.0000 0.0000 0.0000  6 O 1.84-1.98
Li1 0.0732 0.9268 0.2500  2 O 2.00
Li2 0.9268 0.0732 0.7500  2 O 2.00